Version a
Cu3Ag7: optimized geometry, PBE-GGA.

Lattice parameters (Å, degrees): 22.6131 22.6131 22.6131 7.30 7.30 7.30
With the nearest neighbours (Å) after each atom.
Atoms (fractional coordinates):
Cu 0.0000 0.0000 0.0000  6 Ag 2.70, 6 Cu 2.88
Cu 0.1979 0.1979 0.1979  3 Cu 2.51, 3 Ag 2.74
Cu 0.5035 0.5035 0.5035  3 Cu 2.51, 3 Ag 2.73
Ag 0.1024 0.1024 0.1024  12 Ag 2.88-2.93
Ag 0.3018 0.3018 0.3018  3 Cu 2.70, 9 Ag 2.88-2.94
Ag 0.4002 0.4002 0.4002  12 Ag 2.88-2.92
Ag 0.5993 0.5993 0.5993  12 Ag 2.88-2.95
Ag 0.6981 0.6981 0.6981  3 Cu 2.70, 9 Ag 2.88-2.92
Ag 0.8048 0.8048 0.8048  3 Cu 2.73, 9 Ag 2.88-2.93
Ag 0.8967 0.8967 0.8967  3 Cu 2.74, 9 Ag 2.88-2.95

Calculated values
- Crystal system: trigonal
- Mass density: 9.70 g/cm3
- SG: R3m, No. 160

---

Version b
Cu3Ag7: optimized geometry, PBE-GGA.

Lattice parameters (Å, degrees): 2.8764 3.9418 14.3741 90.00 90.00 90.00
With the nearest neighbours (Å) after each atom.
Atoms (fractional coordinates):
Cu 0.0000 0.0000 0.0000  3 Cu 2.71-2.88, 9 Ag 2.79-2.93
Cu 0.0000 0.0000 0.1888  3 Cu 2.71-2.88, 9 Ag 2.80-2.91
Cu 0.5000 0.5000 0.6988  10 Ag 2.80-2.91, 2 Cu 2.88
Ag 0.0000 0.0000 0.3910  11 Ag 2.87-3.06, 1 Cu 2.91
Ag 0.0000 0.0000 0.6038  8 Ag 2.77-3.06, 4 Cu 2.80
Ag 0.0000 0.0000 0.7964  7 Ag 2.77-2.88, 5 Cu 2.81-2.93
Ag 0.5000 0.5000 0.0936  4 Ag 2.76-2.88, 8 Cu 2.79-2.80
Ag 0.5000 0.5000 0.2858  8 Ag 2.76-3.06, 4 Cu 2.81
Ag 0.5000 0.5000 0.4990  11 Ag 2.87-3.06, 1 Cu 2.87
Ag 0.5000 0.5000 0.9010  7 Ag 2.77-2.88, 5 Cu 2.82-2.91

Calculated values
- Crystal system: orthorhombic
- Mass density: 9.64 g/cm3
- SG: Pmm2, No. 25

---

Version c
Cu3Ag7: optimized geometry, PBE-GGA.

Lattice parameters (Å, degrees): 7.0536 2.8739 8.1205 90.00 101.20 90.00
With the nearest neighbours (Å) after each atom.
Atoms (fractional coordinates):
Cu 0.0000 0.0000 0.0000  4 Cu 2.54, 4 Ag 2.70
Cu 0.2514 0.5000 0.8983  2 Cu 2.54, 7 Ag 2.71-2.77
Cu 0.7486 0.5000 0.1017  2 Cu 2.54, 7 Ag 2.71-2.77
Ag 0.1241 0.5000 0.2821  3 Cu 2.70-2.77, 9 Ag 2.87-2.96
Ag 0.1893 0.0000 0.6071  2 Cu 2.73, 10 Ag 2.87-2.96
Ag 0.4343 0.0000 0.1657  4 Cu 2.71-2.77, 8 Ag 2.87-3.03
Ag 0.5000 0.5000 0.5000  12 Ag 2.87-3.03
Ag 0.5657 0.0000 0.8343  4 Cu 2.71-2.77, 8 Ag 2.87-3.03
Ag 0.8107 0.0000 0.3929  2 Cu 2.73, 10 Ag 2.87-2.96
Ag 0.8759 0.5000 0.7179  3 Cu 2.70-2.77, 9 Ag 2.87-2.96

Calculated values
- Crystal system: monoclinic
- Mass density: 9.73 g/cm3
- SG: P2/m, No. 10

---

Version d
Cu3Ag7: optimized geometry, PBE-GGA.

Lattice parameters (Å, degrees): 4.9000 4.9514 7.5138 102.52 108.48 99.90
With the nearest neighbours (Å) after each atom.
Atoms (fractional coordinates):
Cu 0.0000 0.0000 0.0000  10 Ag 2.79-2.88, 2 Cu 2.86
Cu 0.3996 0.2002 0.4004  9 Ag 2.79-2.84, 3 Cu 2.86
Cu 0.6004 0.7998 0.5996  9 Ag 2.79-2.84, 3 Cu 2.86
Ag 0.0000 0.5000 0.5000  8 Ag 2.81-2.87, 4 Cu 2.84
Ag 0.1961 0.0922 0.6971  4 Cu 2.81-2.83, 8 Ag 2.81-2.92
Ag 0.2055 0.6039 0.2055  7 Ag 2.81-2.94, 5 Cu 2.82-2.88
Ag 0.4077 0.7066 0.8987  3 Cu 2.79-2.86, 9 Ag 2.81-2.92
Ag 0.5923 0.2934 0.1013  3 Cu 2.79-2.86, 9 Ag 2.81-2.92
Ag 0.7945 0.3961 0.7945  7 Ag 2.81-2.94, 5 Cu 2.82-2.88
Ag 0.8039 0.9078 0.3029  4 Cu 2.81-2.83, 8 Ag 2.81-2.92

Calculated values
- Crystal system: triclinic
- Mass density: 9.64 g/cm3
- SG: P-1, No. 2

---

Energy comparison, zero being the most stable, in kJ/mol of atoms: version a 1.5; version b 2.1; version c 0.0; version d 3.1.

---

Version a
Cu5Ag3: optimized geometry, PBE-GGA.

Lattice parameters (Å, degrees): 3.7960 3.8682 7.7062 90.00 90.00 90.00
With the nearest neighbours (Å) after each atom.
Atoms (fractional coordinates):
Cu 0.0000 0.0000 0.0000  8 Cu 2.65-2.71, 4 Ag 2.65
Cu 0.0000 0.0000 0.5000  8 Ag 2.71-2.76, 4 Cu 2.82
Cu 0.0000 0.5000 0.2343  6 Cu 2.62-2.82, 6 Ag 2.71-2.79
Cu 0.0000 0.5000 0.7657  6 Cu 2.62-2.82, 6 Ag 2.71-2.79
Cu 0.5000 0.5000 0.0000  8 Cu 2.62-2.71, 4 Ag 2.68
Ag 0.5000 0.0000 0.2402  10 Cu 2.65-2.76, 2 Ag 2.78
Ag 0.5000 0.0000 0.7598  10 Cu 2.65-2.76, 2 Ag 2.78
Ag 0.5000 0.5000 0.5000  8 Cu 2.71-2.79, 4 Ag 2.78

Calculated values
- Crystal system: orthorhombic
- Mass density: 9.41 g/cm3
- SG: Pmmm, No. 47

---

Version b
Cu5Ag3: optimized geometry, PBE-GGA.

Lattice parameters (Å, degrees): 8.8497 8.8497 4.7907 95.28 95.28 17.78
With the nearest neighbours (Å) after each atom.
Atoms (fractional coordinates):
Cu 0.0000 0.0000 0.0000  8 Cu 2.59-2.74, 4 Ag 2.76
Cu 0.1228 0.1228 0.3604  7 Cu 2.63-2.88, 5 Ag 2.68-2.75
Cu 0.3810 0.3810 0.1120  8 Cu 2.59-2.88, 4 Ag 2.66-2.79
Cu 0.6190 0.6190 0.8880  8 Cu 2.59-2.88, 4 Ag 2.66-2.79
Cu 0.8772 0.8772 0.6396  7 Cu 2.63-2.88, 5 Ag 2.68-2.75
Ag 0.2469 0.2469 0.7493  6 Cu 2.72-2.79, 6 Ag 2.74-2.76
Ag 0.5000 0.5000 0.5000  10 Cu 2.66-2.76, 2 Ag 2.74
Ag 0.7531 0.7531 0.2507  6 Cu 2.72-2.79, 6 Ag 2.74-2.76

Calculated values
- Crystal system: monoclinic
- Mass density: 9.33 g/cm3
- SG: C2/m, No. 12

---

Version c
Cu5Ag3: optimized geometry, PBE-GGA.

Lattice parameters (Å, degrees): 2.7488 3.6529 11.2508 90.00 90.00 90.00
With the nearest neighbours (Å) after each atom.
Atoms (fractional coordinates):
Cu 0.0000 0.0000 0.0000  12 Cu 2.46-2.75
Cu 0.0000 0.0000 0.2189  7 Cu 2.46-2.75, 4 Ag 2.71
Cu 0.0000 0.0000 0.7811  7 Cu 2.46-2.75, 4 Ag 2.71
Cu 0.5000 0.5000 0.1104  11 Cu 2.48-2.75, 1 Ag 2.68
Cu 0.5000 0.5000 0.8896  11 Cu 2.48-2.75, 1 Ag 2.68
Ag 0.0000 0.0000 0.5000  10 Ag 2.75-2.85
Ag 0.5000 0.5000 0.3486  5 Cu 2.68-2.71, 6 Ag 2.75-2.85
Ag 0.5000 0.5000 0.6514  5 Cu 2.68-2.71, 6 Ag 2.75-2.85

Calculated values
- Crystal system: orthorhombic
- Mass density: 9.43 g/cm3
- SG: Pmmm, No. 47

---

Energy comparison, zero being the most stable, in kJ/mol of atoms: version a 2.2; version b 4.2; version c 0.0.

---

Version a
Cu5Ag3: optimized geometry, PBE-GGA.

Lattice parameters (Å, degrees): 5.7999 5.7999 9.1839 126.38 126.38 27.58
With the nearest neighbours (Å) after each atom.
Atoms (fractional coordinates):
Cu 0.0000 0.0000 0.0000  7 Cu 2.57-2.76, 5 Ag 2.70-2.84
Cu 0.1180 0.1180 0.3638  7 Cu 2.51-2.76, 2 Ag 2.71
Cu 0.3856 0.3856 0.1227  9 Cu 2.57-2.76, 3 Ag 2.74-2.75
Cu 0.5057 0.5057 0.4795  5 Cu 2.51-2.76, 6 Ag 2.67-2.75
Cu 0.6358 0.6358 0.8990  5 Ag 2.61-2.71, 6 Cu 2.62-2.76
Ag 0.2431 0.2431 0.7512  8 Cu 2.67-2.92, 4 Ag 2.76-2.88
Ag 0.7527 0.7527 0.2473  9 Cu 2.61-2.75, 3 Ag 2.76-2.83
Ag 0.8913 0.8913 0.6280  7 Cu 2.71-2.86, 5 Ag 2.76-2.88

Calculated values
- Crystal system: monoclinic
- Mass density: 9.40 g/cm3
- SG: Cm, No. 8

---

Version b
Cu5Ag3: optimized geometry, PBE-GGA.

Lattice parameters (Å, degrees): 4.6666 2.7619 8.9841 90.00 101.81 90.00
With the nearest neighbours (Å) after each atom.
Atoms (fractional coordinates):
Cu 0.0000 0.0000 0.0000  5 Cu 2.53-2.76, 6 Ag 2.69-2.73
Cu 0.0028 0.5000 0.5182  7 Cu 2.59-2.76, 5 Ag 2.69-2.78
Cu 0.2333 0.0000 0.7569  9 Cu 2.57-2.86, 3 Ag 2.66-2.72
Cu 0.7536 0.0000 0.2720  5 Cu 2.66-2.91, 7 Ag 2.67-2.79
Cu 0.7734 0.5000 0.7698  7 Cu 2.53-2.76, 3 Ag 2.67
Ag 0.2359 0.5000 0.2572  7 Cu 2.67-2.78, 5 Ag 2.76-2.85
Ag 0.5083 0.5000 0.0070  9 Cu 2.67-2.79, 3 Ag 2.76-2.80
Ag 0.5113 0.0000 0.5260  8 Cu 2.66-2.75, 4 Ag 2.76-2.85

Calculated values
- Crystal system: monoclinic
- Mass density: 9.40 g/cm3
- SG: Pm, No. 6

---

Energy comparison, zero being the most stable, in kJ/mol of atoms: version a 0.0; version b 0.7.

---

Version a
Cu5Ag3: optimized geometry, PBE-GGA.

Lattice parameters (Å, degrees): 2.8045 7.6992 7.6992 42.83 90.00 90.00
With the nearest neighbours (Å) after each atom.
Atoms (fractional coordinates):
Cu 0.0000 0.0000 0.0000  6 Cu 2.57-2.80, 6 Ag 2.81-2.83
Cu 0.0000 0.2310 0.2310  4 Cu 2.49, 4 Ag 2.71
Cu 0.0000 0.7223 0.7223  8 Cu 2.53-2.81, 4 Ag 2.76
Cu 0.5000 0.3511 0.8887  7 Cu 2.49-2.60, 2 Ag 2.67
Cu 0.5000 0.8887 0.3511  7 Cu 2.49-2.60, 2 Ag 2.67
Ag 0.0000 0.5020 0.5020  6 Cu 2.67-2.81, 6 Ag 2.80-2.88
Ag 0.5000 0.1020 0.6136  6 Cu 2.71-2.83, 6 Ag 2.75-2.88
Ag 0.5000 0.6136 0.1020  6 Cu 2.71-2.83, 6 Ag 2.75-2.88

Calculated values
- Crystal system: orthorhombic
- Mass density: 9.42 g/cm3
- SG: Amm2, No. 38

---

Version b
Cu5Ag3: optimized geometry, PBE-GGA.

Lattice parameters (Å, degrees): 8.9060 8.9060 4.7579 94.85 94.85 17.66
With the nearest neighbours (Å) after each atom.
Atoms (fractional coordinates):
Cu 0.0000 0.0000 0.0000  9 Cu 2.51-2.77, 3 Ag 2.72-2.77
Cu 0.1160 0.1160 0.3564  11 Cu 2.54-2.83, 1 Ag 2.67
Cu 0.5033 0.5033 0.4938  9 Cu 2.53-2.77, 3 Ag 2.75-2.81
Cu 0.6124 0.6124 0.8770  8 Cu 2.51-2.73, 2 Ag 2.69
Cu 0.7344 0.7344 0.2404  5 Cu 2.59-2.73, 6 Ag 2.74-2.85
Ag 0.2356 0.2356 0.7403  7 Cu 2.67-2.75, 5 Ag 2.73-2.91
Ag 0.3703 0.3703 0.1224  7 Ag 2.73-2.86, 5 Cu 2.77-2.85
Ag 0.8753 0.8753 0.6201  4 Cu 2.72-2.94, 8 Ag 2.73-2.91

Calculated values
- Crystal system: monoclinic
- Mass density: 9.34 g/cm3
- SG: Cm, No. 8

---

Energy comparison, zero being the most stable, in kJ/mol of atoms: version a 0.0; version b 2.5.